Below is Ti3HgCl after structural relaxation, with properties calculated at the GGA-PBE level.

The calculation puts the excess energy over the best structure of this formula in the dataset at 4.99 eV per formula unit. For the density, the calculation gives 4.54 g/cm³. For the total energy, the calculation gives -20.8 eV for the cell shown.

```
Ti3HgCl
1.0
-5.0766 -0.8180 -0.6032
0.6634 -0.3391 -5.1235
0.7700 -5.1011 0.4373
Hg Ti Cl
1 3 1
Direct
0.0000 0.0000 0.0000
0.0000 0.5000 0.0000
0.0000 0.0000 0.5000
0.5000 0.0000 0.0000
0.5000 0.5000 0.5000
```